# 1
Material: ZrInBr3
Method: DFT, GGA-PBEsol
State: optimized geometry

Geometry as POSCAR:
```
ZrInBr3
1.0
5.4431 0.0000 0.0000
0.0000 5.4431 0.0000
0.0000 0.0000 5.4431
Zr In Br
1 1 3
Direct
0.0000 0.0000 0.0000
0.5000 0.5000 0.5000
0.0000 0.5000 0.5000
0.5000 0.0000 0.5000
0.5000 0.5000 0.0000
```

Output
Its space-group type is Pm-3m. The uncorrected formation energy comes out at 1.3 eV per formula unit. For the density of states at the Fermi level, the calculation gives 1.676 states/eV per atom.

***

# 2
Material: CaBeFe2
Method: DFT, GGA-PBEsol
State: optimized geometry

Geometry as POSCAR:
```
CaBeFe2
1.0
2.9107 0.0000 0.0000
0.0000 2.9107 0.0000
0.0000 0.0000 6.5067
Ca Be Fe
1 1 2
Direct
0.0000 0.0000 0.0000
0.5000 0.5000 0.6651
0.0000 0.0000 0.5007
0.5000 0.5000 0.3273
```

Output
Its space-group type is P4mm. The formation energy comes out at 32 kJ per mole of atoms. For the density of states at the Fermi level, the calculation gives 0.989 states/eV per atom.

***

# 3
Material: MgMoBr2
Method: DFT, GGA-PBEsol
State: optimized geometry

Geometry as POSCAR:
```
MgMoBr2
1.0
-1.5859 2.3991 6.4917
1.5859 -2.3991 6.4917
1.5859 2.3991 -6.4917
Mg Mo Br
1 1 2
Direct
0.0000 0.0000 0.0000
0.5000 0.5000 0.0000
0.3456 0.8456 0.5000
0.6544 0.1544 0.5000
```

Output
Its space-group type is Immm. As for the relative energy among the computed polymorphs: 0.084 eV per atom. The uncorrected formation energy comes out at -0.1 eV per formula unit. For the density of states at the Fermi level, the calculation gives 0.778 states/eV per atom.

***

# 4
Material: Mg2CoNi
Method: DFT, GGA-PBEsol
State: optimized geometry

Geometry as POSCAR:
```
Mg2CoNi
1.0
-1.4231 2.1678 4.5171
1.4231 -2.1678 4.5171
1.4231 2.1678 -4.5171
Mg Co Ni
2 1 1
Direct
0.0000 0.0000 0.0000
0.7137 0.2137 0.5000
0.4597 0.4597 0.0000
0.2515 0.7515 0.5000
```

Output
Its space-group type is Imm2. As for the relative energy among the computed polymorphs: 0.000 eV per atom. The formation energy comes out at 9 kJ per mole of atoms. For the density of states at the Fermi level, the calculation gives 1.171 states/eV per atom.